DFT (PBE-GGA) results for crystalline Ca2Al3AgAu12 at its relaxed geometry.

Unit cell a=8.016 b=8.016 c=8.016 alpha=65.91 beta=65.91 gamma=65.91
Fractional positions:
Au 0.642 0.110 0.642
Au 0.142 0.616 0.142
Au 0.858 0.858 0.384
Au 0.384 0.858 0.858
Au 0.642 0.642 0.110
Au 0.142 0.142 0.616
Au 0.890 0.358 0.358
Au 0.858 0.384 0.858
Au 0.358 0.358 0.890
Au 0.616 0.142 0.142
Au 0.358 0.890 0.358
Au 0.110 0.642 0.642
Al 0.000 0.000 0.500
Al 0.500 0.000 0.000
Al 0.000 0.500 0.000
Ca 0.395 0.395 0.395
Ca 0.605 0.605 0.605
Ag 0.000 0.000 0.000

## Properties
Space-group type ... No. 166
Total moment ... 0.0 μB per cell
ΔE_f ... -0.14 eV/atom

DFT (PBE-GGA) results for crystalline NdMg2Hg3 at its relaxed geometry.

Unit cell a=6.288 b=6.985 c=6.985 alpha=103.94 beta=90.00 gamma=90.00
Fractional positions:
Mg 0.500 0.781 0.219
Mg 0.000 0.781 0.219
Mg 0.500 0.219 0.781
Mg 0.000 0.219 0.781
Hg 0.250 0.561 0.848
Hg 0.750 0.152 0.439
Hg 0.250 0.848 0.561
Hg 0.750 0.439 0.152
Hg 0.750 0.000 0.000
Hg 0.250 0.000 0.000
Nd 0.750 0.641 0.641
Nd 0.250 0.359 0.359

## Properties
Space-group type ... No. 63
Total moment ... 0.0 μB per cell
ΔE_f ... -0.27 eV/atom

DFT (PBE-GGA) results for crystalline TmSn2Bi at its relaxed geometry.

Unit cell a=4.917 b=4.725 c=4.725 alpha=90.00 beta=90.00 gamma=90.00
Fractional positions:
Sn 0.000 0.500 0.000
Sn 0.000 0.000 0.500
Tm 0.500 0.000 0.000
Bi 0.500 0.500 0.500

## Properties
Space-group type ... No. 123
Total moment ... 0.0 μB per cell
ΔE_f ... -0.31 eV/atom